[1]
{"formula": "LaPmSiSe", "functional": "GGA-PBE", "state": "optimized geometry", "cell": [[4.291, 0.000, 0.000], [2.145, 3.716, 0.000], [2.145, 1.239, 7.087]], "species": ["Pm", "Si", "Se", "La"], "fractional_positions": [[0.197, 0.197, 0.408], [0.942, 0.942, 0.174], [0.446, 0.446, 0.661], [0.690, 0.690, 0.929]], "formation_energy_uncorrected_ev_per_atom": -1.32, "vol_a3_per_fu": 113}

---

[2]
{"formula": "TiNb2CdN", "functional": "GGA-PBE", "state": "optimized geometry", "cell": [[-3.134, 2.799, 1.252], [-2.356, -3.344, 1.578], [1.820, 0.423, 3.612]], "species": ["Nb", "Nb", "Ti", "Cd", "N"], "fractional_positions": [[0.000, 0.500, 0.000], [0.500, 0.000, 0.000], [0.000, 0.000, 0.500], [0.500, 0.500, 0.500], [0.000, 0.000, 0.000]], "formation_energy_uncorrected_ev_per_atom": -0.50, "vol_a3_per_fu": 78}

---

[3]
{"formula": "Ac4CuPtI2", "functional": "GGA-PBE", "state": "optimized geometry", "cell": [[-0.503, -4.280, 1.434], [6.752, 0.451, 3.716], [-6.343, 2.667, 5.735]], "species": ["Ac", "Ac", "Ac", "Ac", "Cu", "I", "I", "Pt"], "fractional_positions": [[0.000, 0.272, 0.811], [0.000, 0.728, 0.189], [0.500, 0.765, 0.814], [0.500, 0.235, 0.186], [0.000, 0.000, 0.000], [0.000, 0.500, 0.500], [0.500, 0.000, 0.500], [0.500, 0.500, 0.000]], "formation_energy_uncorrected_ev_per_atom": -0.88, "vol_a3_per_fu": 300}